A relaxed SrZrSc2 crystal. Source: Alexandria via LeMat-Bulk, functional PBE.

Cell lengths 3.5628, 5.5655, 5.6773 Å; angles 90.00, 90.00, 90.00 degrees
With the nearest neighbours (Å) after each atom.
Element x y z (fractional)
Sr 0.0000 0.0000 0.0000  4 Sc 3.30, 4 Zr 3.35, 2 Sr 3.56
Zr 0.5000 0.0000 0.5000  4 Sc 3.30, 4 Sr 3.35, 2 Zr 3.56
Sc 0.0000 0.5000 0.5000  4 Zr 3.30, 6 Sc 3.35-3.56
Sc 0.5000 0.5000 0.0000  4 Sr 3.30, 6 Sc 3.35-3.56

Calculated values
VASP energy: -0.3843 Ry/atom
energy relative to the lowest polymorph listed for this composition: 303 meV/atom
energy of formation from the pure elements: 0.494 eV per atom



A relaxed SrZrSc2 crystal. Source: Alexandria via LeMat-Bulk, functional PBE.

Cell lengths 5.8595, 5.8595, 3.3658 Å; angles 90.00, 90.00, 107.09 degrees
With the nearest neighbours (Å) after each atom.
Element x y z (fractional)
Sr 0.0000 0.0000 0.0000  2 Sr 3.37, 8 Sc 3.38, 2 Zr 3.48
Zr 0.5000 0.5000 0.0000  2 Zr 3.37, 8 Sc 3.38, 2 Sr 3.48
Sc 0.0000 0.5000 0.5000  4 Sc 3.37-3.48, 4 Zr 3.38, 4 Sr 3.38
Sc 0.5000 0.0000 0.5000  4 Sc 3.37-3.48, 4 Zr 3.38, 4 Sr 3.38

Calculated values
VASP energy: -0.3931 Ry/atom
energy relative to the lowest polymorph listed for this composition: 184 meV/atom
energy of formation from the pure elements: 0.375 eV per atom



A relaxed SrZr2Sc crystal. Source: Alexandria via LeMat-Bulk, functional PBE.

Cell lengths 3.3445, 3.3445, 10.0975 Å; angles 90.00, 90.00, 90.24 degrees
With the nearest neighbours (Å) after each atom.
Element x y z (fractional)
Sr 0.0000 0.0000 0.0000  4 Sr 3.34
Zr 0.0000 0.0000 0.5056  8 Zr 3.13-3.34, 4 Sc 3.15-3.16
Zr 0.5000 0.5000 0.7098  8 Zr 3.13-3.34
Sc 0.5000 0.5000 0.2984  4 Zr 3.15-3.16, 4 Sc 3.34

Calculated values
VASP energy: -0.4428 Ry/atom
energy relative to the lowest polymorph listed for this composition: 11 meV/atom
energy of formation from the pure elements: 0.252 eV per atom



A relaxed SrZr2Sc crystal. Source: Alexandria via LeMat-Bulk, functional PBE.

Cell lengths 3.4206, 5.5177, 5.7233 Å; angles 90.00, 90.00, 90.00 degrees
With the nearest neighbours (Å) after each atom.
Element x y z (fractional)
Sr 0.0000 0.0000 0.0000  4 Sc 3.25, 4 Zr 3.33, 2 Sr 3.42
Zr 0.0000 0.5000 0.5000  6 Zr 3.25-3.42, 4 Sc 3.33
Zr 0.5000 0.0000 0.5000  6 Zr 3.25-3.42, 4 Sr 3.33
Sc 0.5000 0.5000 0.0000  4 Sr 3.25, 4 Zr 3.33, 2 Sc 3.42

Calculated values
VASP energy: -0.4245 Ry/atom
energy relative to the lowest polymorph listed for this composition: 261 meV/atom
energy of formation from the pure elements: 0.502 eV per atom